# 1
An optimized crystal structure of AgHI2. Source: the Alexandria database, functional PBE.

As for the total energy: -2.39 eV/atom. The calculated density is 4.6 g/cm³. The magnetization comes out at 0.00 μB/cell.

The space group is Pnma (No. 62) and the conventional cell measures 6.787, 4.338 and 17.821 Å, with angles of 90.00, 90.00 and 90.00 degrees. Symmetry generates all atoms from Ag at (0.057, 0.250, 0.092), H at (0.008, 0.250, 0.623), I at (0.219, 0.250, 0.679) and I at (0.232, 0.250, 0.941).

***

# 2
An optimized crystal structure of AgH2I. Source: the Alexandria database, functional PBE.

As for the total energy: -2.18 eV/atom. The calculated density is 5.9 g/cm³. The magnetization comes out at 0.00 μB/cell.

The space group is I-42d (No. 122) and the conventional cell measures 5.590, 5.590 and 8.521 Å, with angles of 90.00, 90.00 and 90.00 degrees. Symmetry generates all atoms from Ag at (0.000, 0.000, 0.000), H at (0.061, 0.250, 0.125) and I at (0.000, 0.000, 0.500).

***

# 3
An optimized crystal structure of Ag2HI. Source: the Alexandria database, functional PBE.

As for the total energy: -2.58 eV/atom. The calculated density is 6.9 g/cm³. The magnetization comes out at 0.00 μB/cell.

The space group is I-42d (No. 122) and the conventional cell measures 5.523, 5.523 and 10.871 Å, with angles of 90.00, 90.00 and 90.00 degrees. Symmetry generates all atoms from Ag at (0.095, 0.250, 0.125), H at (0.000, 0.000, 0.000) and I at (0.000, 0.000, 0.500).